# 1
Here is crystalline Ho2TmHg6 at its relaxed geometry from Alexandria. Energies are from PBE-GGA.

Unit cell a=14.301 b=11.626 c=5.406 alpha=90.00 beta=99.99 gamma=90.00
Space group C2/c (No. 15)
Asymmetric unit:
Ho (0.167, 0.126, 0.083) (multiplicity 8)
Tm (0.000, 0.375, 0.250) (multiplicity 4)
Hg (0.056, 0.126, 0.529) (multiplicity 8)
Hg (0.110, 0.375, 0.804) (multiplicity 8)
Hg (0.221, 0.375, 0.362) (multiplicity 8)

=====

# 2
Here is crystalline AlPd3Au at its relaxed geometry from Alexandria. Energies are from PBE-GGA.

Unit cell a=4.959 b=4.959 c=4.959 alpha=90.00 beta=90.00 gamma=90.00
Space group Pm-3m (No. 221)
Asymmetric unit:
Al (0.000, 0.000, 0.000) (multiplicity 1)
Pd (0.000, 0.500, 0.500) (multiplicity 3)
Au (0.500, 0.500, 0.500) (multiplicity 1)

=====

The calculation returns the following total magnetic moment values, one per record and in order: 0.00 0.00 μB per atom.
The calculation returns the following ΔE_f values, one per record and in order: -0.38 0.92 eV per atom.